Material: Er2Ga4Pd3Pt
Method: DFT, PBE-GGA
State: optimized geometry

The space group is P-4m2 (No. 115) and the conventional cell measures 4.035, 4.035 and 11.317 Å, with angles of 90.00, 90.00 and 90.00 degrees. The distinct sites, in fractional coordinates, are Er at (0.000, 0.500, 0.248), Ga at (0.000, 0.000, 0.500), Ga at (0.000, 0.500, 0.865), Ga at (0.500, 0.500, 0.500), Pd at (0.000, 0.000, 0.000), Pd at (0.000, 0.500, 0.646) and Pt at (0.500, 0.500, 0.000).


Material: ErGa4PdPt2
Method: DFT, PBE-GGA
State: optimized geometry

The space group is R-3m (No. 166, hexagonal axes) and the conventional cell measures 4.2998, 4.2998 and 25.7244 Å, with angles of 90.00, 90.00 and 120.00 degrees. The distinct sites, in fractional coordinates, are Er at (0.0000, 0.0000, 0.0000), Ga at (0.0000, 0.0000, 0.1310), Ga at (0.0000, 0.0000, 0.3958), Pd at (0.0000, 0.0000, 0.5000) and Pt at (0.0000, 0.0000, 0.2455).


Material: Er2Ga4PdPt3
Method: DFT, PBE-GGA
State: optimized geometry

The space group is P-4m2 (No. 115) and the conventional cell measures 4.052, 4.052 and 11.252 Å, with angles of 90.00, 90.00 and 90.00 degrees. The distinct sites, in fractional coordinates, are Er at (0.000, 0.500, 0.248), Ga at (0.000, 0.000, 0.000), Ga at (0.000, 0.500, 0.634), Ga at (0.500, 0.500, 0.000), Pd at (0.000, 0.000, 0.500), Pt at (0.000, 0.500, 0.854) and Pt at (0.500, 0.500, 0.500).


Material: ErGaPdPt
Method: DFT, PBE-GGA
State: optimized geometry

The space group is F-43m (No. 216) and the conventional cell measures 6.587, 6.587 and 6.587 Å, with angles of 90.00, 90.00 and 90.00 degrees. The distinct sites, in fractional coordinates, are Er at (0.000, 0.000, 0.000), Ga at (0.000, 0.000, 0.500), Pd at (0.250, 0.250, 0.750) and Pt at (0.250, 0.250, 0.250).


| no. | total energy (eV for the cell shown) |
| --- | --- |
| 1 | -50.9 |
| 2 | -118.3 |
| 3 | -53.7 |
| 4 | -89.7 |